No. 1
# Li3CaIn3, relaxed, DFT GGA-PBE
# D(E_F) = 0.53 states/eV/atom
data_Li3CaIn3
_chemical_formula_sum 'Li6 Ca2 In6'
_space_group_name_H-M_alt 'P m -3 n'
_space_group_IT_number 223
_space_group_name_Hall '-P 4n 2 3'
_cell_length_a 7.275
_cell_length_b 7.275
_cell_length_c 7.275
_cell_angle_alpha 90.00
_cell_angle_beta 90.00
_cell_angle_gamma 90.00
loop_
_atom_site_label
_atom_site_type_symbol
_atom_site_fract_x
_atom_site_fract_y
_atom_site_fract_z
_atom_site_occupancy
Li1 Li 0.000 0.250 0.500 1
Ca1 Ca 0.000 0.000 0.000 1
In1 In 0.000 0.500 0.250 1

No. 2
# Li10CaIn, relaxed, DFT GGA-PBE
# D(E_F) = 0.41 states/eV/atom
data_Li10CaIn
_chemical_formula_sum 'Li10 Ca1 In1'
_space_group_name_H-M_alt 'P m m m'
_space_group_IT_number 47
_space_group_name_Hall '-P 2 2'
_cell_length_a 4.751
_cell_length_b 5.596
_cell_length_c 9.786
_cell_angle_alpha 90.00
_cell_angle_beta 90.00
_cell_angle_gamma 90.00
loop_
_atom_site_label
_atom_site_type_symbol
_atom_site_fract_x
_atom_site_fract_y
_atom_site_fract_z
_atom_site_occupancy
Li1 Li 0.000 0.000 0.000 1
Li2 Li 0.000 0.237 0.275 1
Li3 Li 0.000 0.500 0.500 1
Li4 Li 0.500 0.000 0.195 1
Li5 Li 0.500 0.500 0.353 1
Ca1 Ca 0.500 0.500 0.000 1
In1 In 0.500 0.000 0.500 1

No. 3
# LiCa2In, relaxed, DFT GGA-PBE
# D(E_F) = 0.42 states/eV/atom
data_LiCa2In
_chemical_formula_sum 'Li1 Ca2 In1'
_space_group_name_H-M_alt 'P 4 m m'
_space_group_IT_number 99
_space_group_name_Hall 'P 4 -2'
_cell_length_a 3.841
_cell_length_b 3.841
_cell_length_c 8.078
_cell_angle_alpha 90.00
_cell_angle_beta 90.00
_cell_angle_gamma 90.00
loop_
_atom_site_label
_atom_site_type_symbol
_atom_site_fract_x
_atom_site_fract_y
_atom_site_fract_z
_atom_site_occupancy
Li1 Li 0.000 0.000 0.000 1
Ca1 Ca 0.000 0.000 0.595 1
Ca2 Ca 0.500 0.500 0.250 1
In1 In 0.500 0.500 0.836 1

No. 4
# Li4CaIn5, relaxed, DFT GGA-PBE
# D(E_F) = 0.42 states/eV/atom
data_Li4CaIn5
_chemical_formula_sum 'Li4 Ca1 In5'
_space_group_name_H-M_alt 'P 4/m m m'
_space_group_IT_number 123
_space_group_name_Hall '-P 4 2'
_cell_length_a 3.522
_cell_length_b 3.522
_cell_length_c 17.209
_cell_angle_alpha 90.00
_cell_angle_beta 90.00
_cell_angle_gamma 90.00
loop_
_atom_site_label
_atom_site_type_symbol
_atom_site_fract_x
_atom_site_fract_y
_atom_site_fract_z
_atom_site_occupancy
Li1 Li 0.000 0.000 0.094 1
Li2 Li 0.000 0.000 0.279 1
Ca1 Ca 0.000 0.000 0.500 1
In1 In 0.500 0.500 0.000 1
In2 In 0.500 0.500 0.188 1
In3 In 0.500 0.500 0.371 1

Energy of formation? In order: 0.1308, 0.0143, -0.2021, -0.3089 eV/atom.